# Ni2HgCl, PBEsol geometry, DFT meta-GGA SCAN
data_Ni2HgCl
_cell_length_a 3.0599
_cell_length_b 3.0599
_cell_length_c 21.6430
_cell_angle_alpha 90.00
_cell_angle_beta 90.00
_cell_angle_gamma 120.00
_space_group_name_H-M_alt 'R -3 m'
_space_group_IT_number 166
_space_group_name_Hall '-R 3 2"'
loop_
_atom_site_label
_atom_site_type_symbol
_atom_site_fract_x
_atom_site_fract_y
_atom_site_fract_z
Ni1 Ni 0.0000 0.0000 0.2428
Hg1 Hg 0.0000 0.0000 0.0000
Cl1 Cl 0.0000 0.0000 0.5000
# * E above lowest polymorph: 12 meV/atom
# * final energy: -26.910 eV per atom
# * density: 10.0 g cm⁻³